DFT (GGA-PBE) results for ErAgPd6 after structural relaxation.

Cell lengths 4.0460, 4.0460, 8.1532 Å; angles 90.00, 90.00, 90.00 degrees
Positions (direct):
1 Pd 0.5000 0.5000 0.0000
2 Pd 0.0000 0.5000 0.2541
3 Pd 0.5000 0.0000 0.2541
4 Pd 0.0000 0.5000 0.7459
5 Pd 0.5000 0.0000 0.7459
6 Pd 0.5000 0.5000 0.5000
7 Er 0.0000 0.0000 0.0000
8 Ag 0.0000 0.0000 0.5000

* total magnetic moment: 0.00 μB per cell
* E_form: -0.44 eV per atom
* raw total energy: -5.26 eV per atom
* Fermi-level density of states: 9.68 states/eV/cell
* polymorph energy (0 for the lowest one): 0 meV/atom

***

DFT (GGA-PBE) results for Er3Ag2Pd3 after structural relaxation.

Cell lengths 5.5951, 8.3996, 8.3996 Å; angles 120.00, 90.00, 90.00 degrees
Positions (direct):
1 Ag 0.0000 0.6667 0.3333
2 Ag 0.5000 0.3333 0.6667
3 Ag 0.0000 0.3333 0.6667
4 Ag 0.5000 0.6667 0.3333
5 Pd 0.2500 0.3783 0.0000
6 Pd 0.7500 0.0000 0.6217
7 Pd 0.7500 0.3783 0.3783
8 Pd 0.7500 0.6217 0.0000
9 Pd 0.2500 0.0000 0.3783
10 Pd 0.2500 0.6217 0.6217
11 Er 0.7500 0.7188 0.7188
12 Er 0.2500 0.7188 0.0000
13 Er 0.2500 0.2812 0.2812
14 Er 0.7500 0.0000 0.2812
15 Er 0.7500 0.2812 0.0000
16 Er 0.2500 0.0000 0.7188

* total magnetic moment: 0.00 μB per cell
* E_form: -0.63 eV per atom
* raw total energy: -5.00 eV per atom
* Fermi-level density of states: 11.88 states/eV/cell

***

DFT (GGA-PBE) results for Er4AgPd2Pt after structural relaxation.

Cell lengths 4.9618, 4.9618, 8.5689 Å; angles 73.17, 73.17, 60.00 degrees
Positions (direct):
1 Er 0.3788 0.3788 0.8637
2 Er 0.8715 0.8715 0.3856
3 Er 0.6212 0.6212 0.1363
4 Er 0.1285 0.1285 0.6144
5 Pt 0.5000 0.5000 0.5000
6 Ag 0.0000 0.0000 0.0000
7 Pd 0.7463 0.7463 0.7611
8 Pd 0.2537 0.2537 0.2389

* total magnetic moment: 0.00 μB per cell
* E_form: -0.87 eV per atom
* raw total energy: -5.56 eV per atom
* Fermi-level density of states: 5.34 states/eV/cell

***

DFT (GGA-PBE) results for ErAgPdRh after structural relaxation.

Cell lengths 3.8684, 4.1892, 4.3361 Å; angles 90.00, 90.00, 90.00 degrees
Positions (direct):
1 Ag 0.0000 0.0000 0.0000
2 Pd 0.5000 0.5000 0.0000
3 Er 0.0000 0.5000 0.5000
4 Rh 0.5000 0.0000 0.5000

* total magnetic moment: 0.00 μB per cell
* E_form: -0.62 eV per atom
* raw total energy: -5.61 eV per atom
* Fermi-level density of states: 2.91 states/eV/cell
* polymorph energy (0 for the lowest one): 0 meV/atom

***

DFT (GGA-PBE) results for ErAgPdRh after structural relaxation.

Cell lengths 4.6624, 4.6624, 4.6624 Å; angles 60.00, 60.00, 60.00 degrees
Positions (direct):
1 Er 0.7500 0.7500 0.7500
2 Pd 0.5000 0.5000 0.5000
3 Ag 0.2500 0.2500 0.2500
4 Rh 0.0000 0.0000 0.0000

* total magnetic moment: 0.00 μB per cell
* E_form: -0.54 eV per atom
* raw total energy: -5.53 eV per atom
* Fermi-level density of states: 1.00 states/eV/cell
* polymorph energy (0 for the lowest one): 82 meV/atom

***

DFT (GGA-PBE) results for Er4AgPdRu2 after structural relaxation.

Cell lengths 4.8683, 4.8683, 8.4514 Å; angles 73.26, 73.26, 60.00 degrees
Positions (direct):
1 Er 0.1266 0.1266 0.6203
2 Er 0.6230 0.6230 0.1310
3 Er 0.8734 0.8734 0.3797
4 Er 0.3770 0.3770 0.8690
5 Ru 0.7498 0.7498 0.7507
6 Ru 0.2502 0.2502 0.2493
7 Ag 0.0000 0.0000 0.0000
8 Pd 0.5000 0.5000 0.5000

* total magnetic moment: 0.00 μB per cell
* E_form: -0.55 eV per atom
* raw total energy: -6.16 eV per atom
* Fermi-level density of states: 3.65 states/eV/cell

***

DFT (GGA-PBE) results for SmErAgPd after structural relaxation.

Cell lengths 5.0819, 5.0819, 5.0819 Å; angles 60.00, 60.00, 60.00 degrees
Positions (direct):
1 Sm 0.5000 0.5000 0.5000
2 Er 0.0000 0.0000 0.0000
3 Pd 0.7500 0.7500 0.7500
4 Ag 0.2500 0.2500 0.2500

* total magnetic moment: 0.00 μB per cell
* E_form: -0.57 eV per atom
* raw total energy: -4.90 eV per atom
* Fermi-level density of states: 2.92 states/eV/cell
* polymorph energy (0 for the lowest one): 11 meV/atom

***

DFT (GGA-PBE) results for SmErAgPd after structural relaxation.

Cell lengths 3.5788, 3.5788, 7.2629 Å; angles 90.00, 90.00, 90.00 degrees
Positions (direct):
1 Sm 0.5000 0.5000 0.1175
2 Er 0.5000 0.5000 0.5953
3 Pd 0.0000 0.0000 0.3735
4 Ag 0.0000 0.0000 0.8417

* total magnetic moment: 0.00 μB per cell
* E_form: -0.58 eV per atom
* raw total energy: -4.91 eV per atom
* Fermi-level density of states: 3.89 states/eV/cell
* polymorph energy (0 for the lowest one): 0 meV/atom